This record from Alexandria describes an optimized crystal structure of LiLaGa2Pt2. The functional is PBE.

abc: 4.414 4.414 6.815
angles: 90.00 90.00 120.00
Positions (direct):
Li 0.000 0.000 0.000
La 0.000 0.000 0.500
Ga 0.333 0.667 0.826
Ga 0.667 0.333 0.174
Pt 0.333 0.667 0.213
Pt 0.667 0.333 0.787

Properties
- calculated volume (Å³ per cell) = 115.0
- space-group type = No. 164
- total magnetic moment (Bohr magnetons per cell) = 0.0
- DFT total energy (eV/atom) = -5.084